DFT (GGA-PBE) results for a relaxed Sm4AsPSe2 crystal.

total DFT energy (no corrections): -50.0 eV per formula unit
size of the total moment: 0.000 μB/f.u.
energy relative to the elements, uncorrected: -14.06 eV/f.u.
theoretical density: 6.98 g cm⁻³

abc: 4.1559 7.2834 7.2008
angles: 70.72 90.00 90.00
Element x y z (fractional)
P 0.0000 0.5000 0.5000
Sm 0.0000 0.2645 0.2502
Se 0.5000 0.0000 0.5000
Sm 0.0000 0.7355 0.7498
Sm 0.5000 0.7321 0.2610
Sm 0.5000 0.2679 0.7390
As 0.5000 0.5000 0.0000
Se 0.0000 0.0000 0.0000